A geometry-optimized KZnCrCl6 structure, computed with PBE-GGA.

POSCAR file:
```
KZnCrCl6
1.0
-4.3989 -4.4170 -1.1327
1.8363 1.1905 5.9459
-10.0548 9.7161 1.1599
K Zn Cr Cl
2 2 2 12
Direct
0.0000 0.0000 0.0000
0.0000 0.0000 0.5000
0.6667 0.3333 0.2500
0.3333 0.6667 0.7500
0.3333 0.6667 0.2500
0.6667 0.3333 0.7500
0.6219 0.6362 0.1526
0.0143 0.3781 0.1526
0.3781 0.0143 0.6526
0.9857 0.6219 0.8474
0.3638 0.3781 0.3474
0.0143 0.6362 0.3474
0.6362 0.0143 0.8474
0.6219 0.9857 0.3474
0.9857 0.3638 0.6526
0.3638 0.9857 0.1526
0.6362 0.6219 0.6526
0.3781 0.3638 0.8474
```

Output
space group: P-31c, No. 163
ΔE_f (raw): -1307 meV/atom
calculated total energy: -3.871 eV/atom


A geometry-optimized Sc2Ga2Ni5Ge structure, computed with PBE-GGA.

POSCAR file:
```
Sc2Ga2Ni5Ge
1.0
3.3755 0.0000 0.0000
0.0000 9.2044 0.0000
0.0000 0.0000 9.2044
Sc Ga Ni Ge
4 4 10 2
Direct
0.0000 0.6746 0.1746
0.0000 0.3254 0.8254
0.0000 0.1746 0.3254
0.0000 0.8254 0.6746
0.0000 0.1242 0.6242
0.0000 0.8758 0.3758
0.0000 0.6242 0.8758
0.0000 0.3758 0.1242
0.5000 0.1996 0.0543
0.5000 0.8004 0.9457
0.5000 0.0543 0.8004
0.5000 0.6996 0.4457
0.5000 0.9457 0.1996
0.5000 0.3004 0.5543
0.5000 0.5543 0.6996
0.5000 0.4457 0.3004
0.5000 0.5000 0.0000
0.5000 0.0000 0.5000
0.0000 0.0000 0.0000
0.0000 0.5000 0.5000
```

Output
space group: P4/mbm, No. 127
energy relative to the elements: -9.3 kcal/mol of atoms
calculated total energy: -5.628 eV/atom


A geometry-optimized Na2NpPb3O6 structure, computed with PBE-GGA.

POSCAR file:
```
Na2NpPb3O6
1.0
5.9718 0.0792 -0.2755
-2.9158 5.2121 -0.2755
-1.3166 -2.2797 6.7071
Na Np Pb O
2 1 3 6
Direct
0.3347 0.6653 0.0000
0.6653 0.3347 0.0000
0.0000 0.0000 0.0000
0.1642 0.8358 0.5000
0.8358 0.1642 0.5000
0.5000 0.5000 0.5000
0.8976 0.6190 0.8296
0.8454 0.8454 0.2291
0.1024 0.3810 0.1704
0.6190 0.8976 0.8296
0.1546 0.1546 0.7709
0.3810 0.1024 0.1704
```

Output
space group: C2/m, No. 12
ΔE_f (raw): -1656 meV/atom
calculated total energy: -6.360 eV/atom